Here is a relaxed structure of NaMoO3 from Alexandria via LeMat-Bulk. Energies are from PBE+U.

E_tot   -6.362 eV/atom
N(E_F)   1.0 states/eV/cell

Cell lengths 3.9062, 3.9062, 3.9062 Å; angles 90.00, 90.00, 90.00 degrees
Last column: nearest neighbours and their distance in Å.
Space group Pm-3m (No. 221)
Asymmetric unit:
Na  0.0000  0.0000  0.0000  12 O 2.76
Mo  0.5000  0.5000  0.5000  6 O 1.95
O  0.0000  0.5000  0.5000  2 Mo 1.95